(1)
SrTa2Rh | PBE-GGA | relaxed

The space group is F-43m (No. 216) and the conventional cell measures 6.835, 6.835 and 6.835 Å, with angles of 90.00, 90.00 and 90.00 degrees. The inequivalent atoms are Sr at (0.000, 0.000, 0.000), Ta at (0.000, 0.000, 0.500), Ta at (0.250, 0.250, 0.750) and Rh at (0.250, 0.250, 0.250).

For the volume, the calculation gives 19.96 Å³/atom. The formation energy comes out at 0.665 eV per atom. The total energy comes out at -7.520 eV per atom. The excess energy over the best structure of this formula in the dataset comes out at 534 meV/atom.

=====

(2)
SrTa2Rh | PBE-GGA | relaxed

The space group is Imm2 (No. 44) and the conventional cell measures 3.088, 5.379 and 10.027 Å, with angles of 90.00, 90.00 and 90.00 degrees. The inequivalent atoms are Sr at (0.000, 0.000, 0.000), Ta at (0.000, 0.000, 0.468), Ta at (0.000, 0.500, 0.205) and Rh at (0.000, 0.500, 0.762).

For the volume, the calculation gives 20.82 Å³/atom. The formation energy comes out at 0.547 eV per atom. The total energy comes out at -7.638 eV per atom. The excess energy over the best structure of this formula in the dataset comes out at 416 meV/atom.

=====

(3)
SrTaRh | PBE-GGA | relaxed

The space group is F-43m (No. 216) and the conventional cell measures 6.561, 6.561 and 6.561 Å, with angles of 90.00, 90.00 and 90.00 degrees. The inequivalent atoms are Sr at (0.000, 0.000, 0.000), Ta at (0.250, 0.250, 0.250) and Rh at (0.250, 0.250, 0.750).

For the volume, the calculation gives 23.54 Å³/atom. The formation energy comes out at 1.847 eV per atom. The total energy comes out at -5.115 eV per atom. The excess energy over the best structure of this formula in the dataset comes out at 1772 meV/atom.